Computed, not measured: crystalline Cs3RbFe2Cl9 at its relaxed geometry at the PBE level of DFT.

Cell and atoms, written as POSCAR:
```
Cs3RbFe2Cl9
1.0
7.4038 0.0000 0.0000
-3.7019 6.4119 0.0000
0.0000 0.0000 10.1532
Cs Rb Fe Cl
3 1 2 9
Direct
0.3333 0.6667 0.7230
0.0000 0.0000 0.0000
0.6667 0.3333 0.2770
0.0000 0.0000 0.5000
0.3333 0.6667 0.1563
0.6667 0.3333 0.8437
0.8213 0.1787 0.7202
0.8213 0.6425 0.7202
0.3575 0.1787 0.7202
0.6425 0.8213 0.2798
0.1787 0.3575 0.2798
0.1787 0.8213 0.2798
0.5000 0.0000 0.0000
0.0000 0.5000 0.0000
0.5000 0.5000 0.0000
```

Output
**SG**: P-3m1, No. 164
**E_tot**: -3.88 eV/atom